Entry i
Co2OsBr: optimized geometry, PBE.

Values from the calculation:
Its magnetic moment is 2.6 μB/cell. Its density of states at the Fermi level is 1.493 states/eV per atom.

The structure in POSCAR format:
```
Co2OsBr
1.0
3.976 -1.437 0.000
3.976 1.437 0.000
-1.046 0.000 6.278
Co Os Br
2 1 1
Cartesian
0.000 0.000 0.000 Co
5.655 0.000 1.035 Co
3.417 0.000 1.913 Os
-0.090 0.000 4.074 Br
```

Entry ii
Co2OsBr: optimized geometry, PBE.

Values from the calculation:
Its magnetic moment is 2.5 μB/cell. Its density of states at the Fermi level is 1.608 states/eV per atom.

The structure in POSCAR format:
```
Co2OsBr
1.0
-1.972 1.972 3.550
1.972 -1.972 3.550
1.972 1.972 -3.550
Co Os Br
2 1 1
Cartesian
1.972 0.000 1.775 Co
0.000 1.972 1.775 Co
0.000 0.000 0.000 Os
0.000 0.000 3.550 Br
```

Entry iii
Co2OsBr: optimized geometry, PBE.

Values from the calculation:
Its magnetic moment is 4.3 μB/cell. Its density of states at the Fermi level is 1.187 states/eV per atom.

The structure in POSCAR format:
```
Co2OsBr
1.0
2.911 0.000 0.000
0.000 4.329 0.000
0.000 0.000 4.480
Co Os Br
2 1 1
Cartesian
0.000 0.000 0.000 Co
1.456 0.000 2.240 Co
0.000 2.164 2.240 Os
1.456 2.164 0.000 Br
```

What is the stability order? It is entry i, entry iii, entry ii, from most stable to least stable.